(1)
DFT (PBE-GGA) results for KCoAu after structural relaxation.

abc: 6.3973 6.3973 6.3973
angles: 147.84 147.84 46.12
Closest atoms and distances in Å follow each position.
Fractional coordinates of all 3 atoms:
Au 0.9395 0.9395 0.0000  4 Co 2.55
Co 0.3978 0.3978 0.0000  4 Au 2.55
K 0.6628 0.6628 0.0000  1 Co 3.12, 1 Au 3.26

Theoretical density (g/cm³): 6.63
Energy of formation (eV/f.u.): 1.24
Polymorph energy (0 for the lowest one) (eV per atom): 0.052

---

(2)
DFT (PBE-GGA) results for LaY2Rh after structural relaxation.

abc: 6.2552 6.2552 6.2552
angles: 139.12 139.12 59.19
Closest atoms and distances in Å follow each position.
Fractional coordinates of all 4 atoms:
La 0.5000 0.5000 0.0000  4 Y 3.09
Rh 0.7500 0.2500 0.5000  4 Y 3.09
Y 0.0000 0.0000 0.0000  4 La 3.09
Y 0.2500 0.7500 0.5000  4 Rh 3.09

Theoretical density (g/cm³): 6.71
Energy of formation (eV/f.u.): -0.31
Polymorph energy (0 for the lowest one) (eV per atom): 0.418

---

(3)
DFT (PBE-GGA) results for BeIr2Se after structural relaxation.

abc: 4.3537 4.3537 4.8581
angles: 77.16 77.16 38.37
Closest atoms and distances in Å follow each position.
Fractional coordinates of all 4 atoms:
Be 0.7500 0.7500 0.7500  6 Ir 2.45-2.69
Ir 0.0166 0.0166 0.9830  3 Be 2.45-2.69, 3 Se 2.56-2.68
Ir 0.4834 0.4834 0.5170  3 Be 2.45-2.69, 3 Se 2.56-2.68
Se 0.2500 0.2500 0.2500  6 Ir 2.56-2.68, 4 Be 2.82, 2 Se 2.86

E_form (uncorrected) (eV/atom): 0.092
Theoretical density (g/cm³): 14.12
Polymorph energy (0 for the lowest one) (eV per atom): 0.057

---

(4)
DFT (PBE-GGA) results for NdGe2IrPt2 after structural relaxation.

abc: 3.9715 3.9715 9.9188
angles: 101.55 101.55 90.00
Closest atoms and distances in Å follow each position.
Fractional coordinates of all 6 atoms:
Nd 0.5000 0.5000 0.0000  4 Ir 2.81
Ge 0.3324 0.3324 0.6647  4 Pt 2.53
Ge 0.6676 0.6676 0.3353  4 Pt 2.53
Ir 0.0000 0.0000 0.0000  4 Nd 2.81
Pt 0.2500 0.7500 0.5000  4 Ge 2.53, 4 Pt 2.81
Pt 0.7500 0.2500 0.5000  4 Ge 2.53, 4 Pt 2.81

Theoretical density (g/cm³): 9.65
Energy of formation (eV/f.u.): -0.36

---

Number 1: size of the total moment 1.8 Bohr magnetons per cell, E_tot -3.415 eV/atom. Number 2: size of the total moment 0.0 Bohr magnetons per cell, E_tot -6.380 eV/atom. Number 3: size of the total moment 0.0 Bohr magnetons per cell, E_tot -6.141 eV/atom. Number 4: size of the total moment 0.1 Bohr magnetons per cell, E_tot -5.884 eV/atom.